(1)
The following is a PBE calculation of a relaxed Ta2TlCu crystal, from Alexandria via LeMat-Bulk.

Computed properties:
**Crystal system**: cubic
**D(E_F)**: 1.609 states/eV/atom
**Space-group type**: F-43m
**Total magnetic moment**: 0.000 μB per atom
**ΔE_f**: 706 meV/atom

The structure in POSCAR format:
```
Ta2TlCu
1.0
0.0000 3.3281 3.3281
3.3281 0.0000 3.3281
3.3281 3.3281 0.0000
Ta Tl Cu
2 1 1
direct
0.0000 0.0000 0.0000
0.2500 0.2500 0.2500
0.7500 0.7500 0.7500
0.5000 0.5000 0.5000
```


(2)
The following is a PBE calculation of a relaxed Ta2TlCu crystal, from Alexandria via LeMat-Bulk.

Computed properties:
**Crystal system**: monoclinic
**D(E_F)**: 0.706 states/eV/atom
**Space-group type**: C2/m
**Total magnetic moment**: 0.000 μB per atom
**ΔE_f**: 440 meV/atom

The structure in POSCAR format:
```
Ta2TlCu
1.0
2.8403 -4.2787 0.0000
2.8403 4.2787 0.0000
-0.0110 0.0000 2.9420
Ta Tl Cu
2 1 1
direct
0.0000 0.5000 0.0000
0.5000 0.0000 0.0000
0.0000 0.0000 0.5000
0.5000 0.5000 0.5000
```


(3)
The following is a PBE calculation of a relaxed Ta2TlCu crystal, from Alexandria via LeMat-Bulk.

Computed properties:
**Crystal system**: monoclinic
**D(E_F)**: 0.382 states/eV/atom
**Space-group type**: Cm
**Total magnetic moment**: 0.000 μB per atom
**ΔE_f**: 420 meV/atom

The structure in POSCAR format:
```
Ta2TlCu
1.0
5.1721 -1.4787 0.0000
5.1721 1.4787 0.0000
-2.0534 0.0000 4.7227
Ta Tl Cu
2 1 1
direct
0.0000 0.0000 0.0000
0.2488 0.2488 0.9005
0.4799 0.4799 0.4886
0.7313 0.7313 0.3940
```


(4)
The following is a PBE calculation of a relaxed TaTlCu2 crystal, from Alexandria via LeMat-Bulk.

Computed properties:
**Crystal system**: tetragonal
**D(E_F)**: 0.687 states/eV/atom
**Space-group type**: P4/mmm
**Total magnetic moment**: 0.000 μB per atom
**ΔE_f**: 301 meV/atom

The structure in POSCAR format:
```
TaTlCu2
1.0
2.9828 0.0000 0.0000
0.0000 2.9828 0.0000
0.0000 0.0000 7.5891
Ta Tl Cu
1 1 2
direct
0.0000 0.0000 0.0000
0.0000 0.0000 0.5000
0.5000 0.5000 0.2318
0.5000 0.5000 0.7682
```


(5)
The following is a PBE calculation of a relaxed TaTlCu3 crystal, from Alexandria via LeMat-Bulk.

Computed properties:
**Crystal system**: cubic
**D(E_F)**: 0.910 states/eV/atom
**Space-group type**: Pm-3m
**Total magnetic moment**: 0.000 μB per atom
**ΔE_f**: 1259 meV/atom

The structure in POSCAR format:
```
TaTlCu3
1.0
4.9089 0.0000 0.0000
0.0000 4.9089 0.0000
0.0000 0.0000 4.9089
Ta Tl Cu
1 1 3
direct
0.0000 0.0000 0.0000
0.5000 0.5000 0.5000
0.0000 0.0000 0.5000
0.0000 0.5000 0.0000
0.5000 0.0000 0.0000
```


(6)
The following is a PBE calculation of a relaxed TaTlCu crystal, from Alexandria via LeMat-Bulk.

Computed properties:
**Crystal system**: cubic
**D(E_F)**: 0.703 states/eV/atom
**Space-group type**: F-43m
**Total magnetic moment**: 0.000 μB per atom
**ΔE_f**: 1033 meV/atom

The structure in POSCAR format:
```
TaTlCu
1.0
0.0000 3.1966 3.1966
3.1966 0.0000 3.1966
3.1966 3.1966 0.0000
Ta Tl Cu
1 1 1
direct
0.0000 0.0000 0.0000
0.2500 0.2500 0.2500
0.7500 0.7500 0.7500
```


(7)
The following is a PBE calculation of a relaxed Ta2TlCu crystal, from Alexandria via LeMat-Bulk.

Computed properties:
**Crystal system**: orthorhombic
**D(E_F)**: 0.492 states/eV/atom
**Space-group type**: Pmmm
**Total magnetic moment**: 0.000 μB per atom
**ΔE_f**: 398 meV/atom

The structure in POSCAR format:
```
Ta2TlCu
1.0
2.9418 0.0000 0.0000
0.0000 4.1355 0.0000
0.0000 0.0000 5.8500
Ta Tl Cu
2 1 1
direct
0.0000 0.0000 0.2304
0.0000 0.0000 0.7696
0.5000 0.5000 0.5000
0.5000 0.5000 0.0000
```


(8)
The following is a PBE calculation of a relaxed TaTl3Cu crystal, from Alexandria via LeMat-Bulk.

Computed properties:
**Crystal system**: cubic
**D(E_F)**: 1.145 states/eV/atom
**Space-group type**: Pm-3m
**Total magnetic moment**: 0.373 μB per atom
**ΔE_f**: 1143 meV/atom

The structure in POSCAR format:
```
TaTl3Cu
1.0
5.0722 0.0000 0.0000
0.0000 5.0722 0.0000
0.0000 0.0000 5.0722
Ta Tl Cu
1 3 1
direct
0.0000 0.0000 0.0000
0.0000 0.5000 0.5000
0.5000 0.0000 0.5000
0.5000 0.5000 0.0000
0.5000 0.5000 0.5000
```


(9)
The following is a PBE calculation of a relaxed Ta2Tl2Cu crystal, from Alexandria via LeMat-Bulk.

Computed properties:
**Crystal system**: tetragonal
**D(E_F)**: 0.999 states/eV/atom
**Space-group type**: P4/mbm
**Total magnetic moment**: 0.000 μB per atom
**ΔE_f**: 855 meV/atom

The structure in POSCAR format:
```
Ta2Tl2Cu
1.0
8.4492 0.0000 0.0000
0.0000 8.4492 0.0000
0.0000 0.0000 3.0455
Ta Tl Cu
4 4 2
direct
0.1121 0.3879 0.0000
0.3879 0.8879 0.0000
0.6121 0.1121 0.0000
0.8879 0.6121 0.0000
0.1847 0.6847 0.5000
0.3153 0.1847 0.5000
0.6847 0.8153 0.5000
0.8153 0.3153 0.5000
0.0000 0.0000 0.5000
0.5000 0.5000 0.5000
```


(10)
The following is a PBE calculation of a relaxed Ta2TlCu crystal, from Alexandria via LeMat-Bulk.

Computed properties:
**Crystal system**: orthorhombic
**D(E_F)**: 0.566 states/eV/atom
**Space-group type**: Cmm2
**Total magnetic moment**: 0.000 μB per atom
**ΔE_f**: 296 meV/atom

The structure in POSCAR format:
```
Ta2TlCu
1.0
1.7967 -2.2966 0.0000
1.7967 2.2966 0.0000
0.0000 0.0000 8.9816
Ta Tl Cu
2 1 1
direct
0.0000 0.0000 0.0000
0.5000 0.5000 0.2450
0.5000 0.5000 0.7164
0.0000 0.0000 0.4664
```


(11)
The following is a PBE calculation of a relaxed Ta2TlCu crystal, from Alexandria via LeMat-Bulk.

Computed properties:
**Crystal system**: tetragonal
**D(E_F)**: 0.703 states/eV/atom
**Space-group type**: I-4m2
**Total magnetic moment**: 0.000 μB per atom
**ΔE_f**: 483 meV/atom

The structure in POSCAR format:
```
Ta2TlCu
1.0
-2.0232 2.0232 4.3992
2.0232 -2.0232 4.3992
2.0232 2.0232 -4.3992
Ta Tl Cu
2 1 1
direct
0.0000 0.0000 0.0000
0.7500 0.2500 0.5000
0.2500 0.7500 0.5000
0.5000 0.5000 0.0000
```


(12)
The following is a PBE calculation of a relaxed TaTlCu crystal, from Alexandria via LeMat-Bulk.

Computed properties:
**Crystal system**: tetragonal
**D(E_F)**: 0.314 states/eV/atom
**Space-group type**: I4mm
**Total magnetic moment**: 0.000 μB per atom
**ΔE_f**: 401 meV/atom

The structure in POSCAR format:
```
TaTlCu
1.0
-1.5222 1.5222 5.7824
1.5222 -1.5222 5.7824
1.5222 1.5222 -5.7824
Ta Tl Cu
1 1 1
direct
0.0000 0.0000 0.0000
0.6943 0.6943 0.0000
0.3576 0.3576 0.0000
```


(13)
The following is a PBE calculation of a relaxed TaTlCu2 crystal, from Alexandria via LeMat-Bulk.

Computed properties:
**Crystal system**: tetragonal
**D(E_F)**: 0.875 states/eV/atom
**Space-group type**: P4mm
**Total magnetic moment**: 0.000 μB per atom
**ΔE_f**: 301 meV/atom

The structure in POSCAR format:
```
TaTlCu2
1.0
3.0000 0.0000 0.0000
0.0000 3.0000 0.0000
0.0000 0.0000 7.3660
Ta Tl Cu
1 1 2
direct
0.0000 0.0000 0.0000
0.5000 0.5000 0.3175
0.0000 0.0000 0.5914
0.5000 0.5000 0.7739
```


(14)
The following is a PBE calculation of a relaxed TaTlCu2 crystal, from Alexandria via LeMat-Bulk.

Computed properties:
**Crystal system**: tetragonal
**D(E_F)**: 0.980 states/eV/atom
**Space-group type**: I-4m2
**Total magnetic moment**: 0.001 μB per atom
**ΔE_f**: 573 meV/atom

The structure in POSCAR format:
```
TaTlCu2
1.0
-2.0311 2.0311 4.0274
2.0311 -2.0311 4.0274
2.0311 2.0311 -4.0274
Ta Tl Cu
1 1 2
direct
0.0000 0.0000 0.0000
0.2500 0.7500 0.5000
0.5000 0.5000 0.0000
0.7500 0.2500 0.5000
```


(15)
The following is a PBE calculation of a relaxed TaTlCu2 crystal, from Alexandria via LeMat-Bulk.

Computed properties:
**Crystal system**: monoclinic
**D(E_F)**: 0.562 states/eV/atom
**Space-group type**: P2/m
**Total magnetic moment**: 0.000 μB per atom
**ΔE_f**: 341 meV/atom

The structure in POSCAR format:
```
TaTlCu2
1.0
2.9721 0.0000 0.0000
0.0000 3.7865 0.0000
-0.2753 0.0000 6.0585
Ta Tl Cu
1 1 2
direct
0.0000 0.0000 0.0000
0.0000 0.0000 0.5000
0.4848 0.5000 0.7865
0.5152 0.5000 0.2135
```


(16)
The following is a PBE calculation of a relaxed TaTlCu2 crystal, from Alexandria via LeMat-Bulk.

Computed properties:
**Crystal system**: monoclinic
**D(E_F)**: 0.346 states/eV/atom
**Space-group type**: C2/m
**Total magnetic moment**: 0.000 μB per atom
**ΔE_f**: 390 meV/atom

The structure in POSCAR format:
```
TaTlCu2
1.0
4.4308 -1.4745 0.0000
4.4308 1.4745 0.0000
-0.5951 0.0000 5.3175
Ta Tl Cu
1 1 2
direct
0.0000 0.0000 0.0000
0.5000 0.5000 0.5000
0.2586 0.2586 0.8009
0.7414 0.7414 0.1991
```


(17)
The following is a PBE calculation of a relaxed Ta2TlCu crystal, from Alexandria via LeMat-Bulk.

Computed properties:
**Crystal system**: orthorhombic
**D(E_F)**: 0.646 states/eV/atom
**Space-group type**: Pmm2
**Total magnetic moment**: 0.000 μB per atom
**ΔE_f**: 385 meV/atom

The structure in POSCAR format:
```
Ta2TlCu
1.0
3.0454 0.0000 0.0000
0.0000 3.6828 0.0000
0.0000 0.0000 6.6932
Ta Tl Cu
2 1 1
direct
0.0000 0.0000 0.0000
0.5000 0.5000 0.2266
0.0000 0.0000 0.5375
0.5000 0.5000 0.7913
```


(18)
The following is a PBE calculation of a relaxed TaTlCu2 crystal, from Alexandria via LeMat-Bulk.

Computed properties:
**Crystal system**: cubic
**D(E_F)**: 0.359 states/eV/atom
**Space-group type**: Fm-3m
**Total magnetic moment**: 0.000 μB per atom
**ΔE_f**: 481 meV/atom

The structure in POSCAR format:
```
TaTlCu2
1.0
0.0000 3.1864 3.1864
3.1864 0.0000 3.1864
3.1864 3.1864 0.0000
Ta Tl Cu
1 1 2
direct
0.0000 0.0000 0.0000
0.5000 0.5000 0.5000
0.2500 0.2500 0.2500
0.7500 0.7500 0.7500
```


(19)
The following is a PBE calculation of a relaxed TaTlCu crystal, from Alexandria via LeMat-Bulk.

Computed properties:
**Crystal system**: trigonal
**D(E_F)**: 0.676 states/eV/atom
**Space-group type**: P3m1
**Total magnetic moment**: 0.000 μB per atom
**ΔE_f**: 498 meV/atom

The structure in POSCAR format:
```
TaTlCu
1.0
3.0331 0.0000 0.0000
-1.5166 2.6268 0.0000
0.0000 0.0000 7.0628
Ta Tl Cu
1 1 1
direct
0.0000 0.0000 0.0000
0.6667 0.3333 0.3698
0.3333 0.6667 0.7033
```


(20)
The following is a PBE calculation of a relaxed Ta2TlCu crystal, from Alexandria via LeMat-Bulk.

Computed properties:
**Crystal system**: trigonal
**D(E_F)**: 0.888 states/eV/atom
**Space-group type**: R-3m
**Total magnetic moment**: 0.000 μB per atom
**ΔE_f**: 509 meV/atom

The structure in POSCAR format:
```
Ta2TlCu
1.0
1.4950 0.8632 9.5131
-1.4950 0.8632 9.5131
0.0000 -1.7263 9.5131
Ta Tl Cu
2 1 1
direct
0.2431 0.2431 0.2431
0.7569 0.7569 0.7569
0.0000 0.0000 0.0000
0.5000 0.5000 0.5000
```